CsTcAs3, optimized geometry, DFT PBE-GGA; density of states at the Fermi level = 4.04 states/eV/f.u.; E_tot = -4.8315 eV per atom; energy above the lowest structure with this stoichiometry = 0 meV/atom; SG = Pm-3m
1.0
5.0199 0.0000 0.0000
0.0000 5.0199 0.0000
0.0000 0.0000 5.0199
Cs Tc As
1 1 3
Cartesian
0.0000 0.0000 0.0000
2.5099 2.5099 2.5099
0.0000 2.5099 2.5099
2.5099 0.0000 2.5099
2.5099 2.5099 0.0000